Entry 1:
Computed, not measured: crystalline In2TePt2 at its relaxed geometry at the PBE level of DFT.

POSCAR file:
```
In2TePt2
1.0
8.348 0.000 0.000
0.000 8.348 0.000
0.000 0.000 3.002
In Te Pt
4 2 4
Direct
0.166 0.334 0.000
0.334 0.834 0.000
0.666 0.166 0.000
0.834 0.666 0.000
0.000 0.000 0.000
0.500 0.500 0.000
0.126 0.626 0.500
0.374 0.126 0.500
0.626 0.874 0.500
0.874 0.374 0.500
```

Computed properties:
E_form (uncorrected) in eV/atom: -0.133
M_tot in μB per cell: 0.000
E_tot in eV per atom: -4.27
Theoretical density in g/cm³: 11.87

***

Entry 2:
Computed, not measured: crystalline In2TePt at its relaxed geometry at the PBE level of DFT.

POSCAR file:
```
In2TePt
1.0
-1.778 2.193 6.369
1.778 -2.193 6.369
1.778 2.193 -6.369
In Te Pt
2 1 1
Direct
0.000 0.000 0.000
0.677 0.177 0.500
0.360 0.360 0.000
0.184 0.684 0.500
```

Computed properties:
E_form (uncorrected) in eV/atom: -0.161
M_tot in μB per cell: 0.000
E_tot in eV per atom: -3.83
Theoretical density in g/cm³: 9.23

***

Entry 3:
Computed, not measured: crystalline In2TePt at its relaxed geometry at the PBE level of DFT.

POSCAR file:
```
In2TePt
1.0
4.140 0.000 0.000
0.000 4.167 0.000
0.000 0.000 5.541
In Te Pt
2 1 1
Direct
0.000 0.000 0.000
0.500 0.500 0.000
0.000 0.500 0.500
0.500 0.000 0.500
```

Computed properties:
E_form (uncorrected) in eV/atom: 0.068
M_tot in μB per cell: 0.000
E_tot in eV per atom: -3.60
Theoretical density in g/cm³: 9.59

***

Entry 4:
Computed, not measured: crystalline In2TePt at its relaxed geometry at the PBE level of DFT.

POSCAR file:
```
In2TePt
1.0
-1.713 2.298 6.446
1.713 -2.298 6.446
1.713 2.298 -6.446
In Te Pt
2 1 1
Direct
0.184 0.184 0.000
0.816 0.816 0.000
0.500 0.000 0.500
0.000 0.500 0.500
```

Computed properties:
E_form (uncorrected) in eV/atom: -0.128
M_tot in μB per cell: 0.000
E_tot in eV per atom: -3.79
Theoretical density in g/cm³: 9.03

***

Entry 5:
Computed, not measured: crystalline Zr2InTePt at its relaxed geometry at the PBE level of DFT.

POSCAR file:
```
Zr2InTePt
1.0
5.535 0.000 0.000
0.000 5.535 0.000
0.000 0.000 5.418
Zr In Te Pt
2 1 1 1
Direct
0.000 0.500 0.000
0.500 0.000 0.000
0.000 0.000 0.000
0.000 0.000 0.500
0.500 0.500 0.500
```

Computed properties:
E_form (uncorrected) in eV/atom: 1.287
M_tot in μB per cell: 0.000
E_tot in eV per atom: -4.52
Theoretical density in g/cm³: 6.20

***

Entry 6:
Computed, not measured: crystalline Th2In8Pt at its relaxed geometry at the PBE level of DFT.

POSCAR file:
```
Th2In8Pt
1.0
4.768 0.000 0.000
0.000 4.768 0.000
0.000 0.000 12.287
Th In Pt
2 8 1
Direct
0.000 0.000 0.191
0.000 0.000 0.809
0.000 0.500 0.000
0.000 0.500 0.376
0.000 0.500 0.624
0.500 0.000 0.000
0.500 0.000 0.376
0.500 0.000 0.624
0.500 0.500 0.192
0.500 0.500 0.808
0.000 0.000 0.500
```

Computed properties:
M_tot in μB per cell: 0.000
E_tot in eV per atom: -4.28
Theoretical density in g/cm³: 9.38
Calculated formation energy in meV/atom: -387

***

Entry 7:
Computed, not measured: crystalline Th2InPt at its relaxed geometry at the PBE level of DFT.

POSCAR file:
```
Th2InPt
1.0
1.935 1.117 10.339
-1.935 1.117 10.339
0.000 -2.235 10.339
Th In Pt
2 1 1
Direct
0.108 0.108 0.108
0.892 0.892 0.892
0.000 0.000 0.000
0.500 0.500 0.500
```

Computed properties:
M_tot in μB per cell: 0.000
E_tot in eV per atom: -6.16
Theoretical density in g/cm³: 9.58
Calculated formation energy in meV/atom: -254

***

Entry 8:
Computed, not measured: crystalline Th6In2Pt at its relaxed geometry at the PBE level of DFT.

POSCAR file:
```
Th6In2Pt
1.0
8.970 0.000 0.000
-4.485 7.768 0.000
0.000 0.000 3.798
Th In Pt
6 2 1
Direct
0.000 0.405 0.000
0.000 0.745 0.500
0.255 0.255 0.500
0.405 0.000 0.000
0.595 0.595 0.000
0.745 0.000 0.500
0.333 0.667 0.500
0.667 0.333 0.500
0.000 0.000 0.000
```

Computed properties:
M_tot in μB per cell: 0.000
E_tot in eV per atom: -6.63
Theoretical density in g/cm³: 11.40
Calculated formation energy in meV/atom: -405

***

Entry 9:
Computed, not measured: crystalline ThInPt at its relaxed geometry at the PBE level of DFT.

POSCAR file:
```
ThInPt
1.0
13.860 0.000 0.000
0.000 3.986 0.000
0.000 0.000 7.807
Th In Pt
6 6 6
Direct
0.049 0.000 0.227
0.250 0.000 0.842
0.451 0.000 0.227
0.549 0.000 0.773
0.750 0.000 0.158
0.951 0.000 0.773
0.118 0.500 0.562
0.250 0.500 0.190
0.382 0.500 0.562
0.618 0.500 0.438
0.750 0.500 0.810
0.882 0.500 0.438
0.097 0.500 0.933
0.250 0.000 0.446
0.403 0.500 0.933
0.597 0.500 0.067
0.750 0.000 0.554
0.903 0.500 0.067
```

Computed properties:
M_tot in μB per cell: 0.000
E_tot in eV per atom: -6.31
Theoretical density in g/cm³: 12.52
Calculated formation energy in meV/atom: -913

***

Entry 10:
Computed, not measured: crystalline Th4InPt at its relaxed geometry at the PBE level of DFT.

POSCAR file:
```
Th4InPt
1.0
-3.705 3.705 6.392
3.705 -3.705 6.392
3.705 3.705 -6.392
Th In Pt
8 2 2
Direct
0.018 0.518 0.814
0.204 0.018 0.500
0.296 0.796 0.814
0.482 0.296 0.500
0.518 0.704 0.500
0.704 0.204 0.186
0.796 0.982 0.500
0.982 0.482 0.186
0.000 0.000 0.000
0.500 0.500 0.000
0.250 0.250 0.000
0.750 0.750 0.000
```

Computed properties:
M_tot in μB per cell: 0.000
E_tot in eV per atom: -6.75
Theoretical density in g/cm³: 11.71
Calculated formation energy in meV/atom: -339

***

Entry 11:
Computed, not measured: crystalline Th2InPt9 at its relaxed geometry at the PBE level of DFT.

POSCAR file:
```
Th2InPt9
1.0
2.724 1.573 9.007
-2.724 1.573 9.007
0.000 -3.146 9.007
Th In Pt
2 1 9
Direct
0.135 0.135 0.135
0.865 0.865 0.865
0.000 0.000 0.000
0.081 0.588 0.588
0.332 0.332 0.332
0.412 0.412 0.919
0.412 0.919 0.412
0.500 0.500 0.500
0.588 0.081 0.588
0.588 0.588 0.081
0.668 0.668 0.668
0.919 0.412 0.412
```

Computed properties:
M_tot in μB per cell: 0.000
E_tot in eV per atom: -6.69
Theoretical density in g/cm³: 16.74
Calculated formation energy in meV/atom: -695

***

Entry 12:
Computed, not measured: crystalline ThInPt at its relaxed geometry at the PBE level of DFT.

POSCAR file:
```
ThInPt
1.0
4.773 0.000 0.000
-2.387 4.134 0.000
0.000 0.000 3.600
Th In Pt
1 1 1
Direct
0.000 0.000 0.000
0.667 0.333 0.500
0.333 0.667 0.500
```

Computed properties:
M_tot in μB per cell: 0.000
E_tot in eV per atom: -6.17
Theoretical density in g/cm³: 12.67
Calculated formation energy in meV/atom: -773

***

Entry 13:
Computed, not measured: crystalline Th7In2Pt2 at its relaxed geometry at the PBE level of DFT.

POSCAR file:
```
Th7In2Pt2
1.0
4.238 -5.689 0.000
4.238 5.689 0.000
0.000 0.000 7.018
Th In Pt
7 2 2
Direct
0.000 0.000 0.000
0.000 0.500 0.274
0.000 0.500 0.726
0.500 0.000 0.274
0.500 0.000 0.726
0.500 0.500 0.250
0.500 0.500 0.750
0.166 0.166 0.500
0.834 0.834 0.500
0.266 0.734 0.000
0.734 0.266 0.000
```

Computed properties:
M_tot in μB per cell: 0.000
E_tot in eV per atom: -6.62
Theoretical density in g/cm³: 11.01
Calculated formation energy in meV/atom: -304